Density functional theory data (GGA+U) for crystalline BaLi2MoO4 at its relaxed geometry.

Cell lengths 5.604, 5.401, 5.401 Å; angles 85.67, 58.75, 58.75 degrees
Site moments in Bohr magnetons follow the coordinates.
Atoms (fractional coordinates):
Ba (0.000, 0.000, 0.000)  0.01
Li (0.500, 0.750, 0.250)  0.01
Li (0.500, 0.250, 0.750)  0.01
Mo (0.000, 0.500, 0.500)  1.78
O (0.602, 0.538, 0.860)  0.03
O (0.398, 0.140, 0.462)  0.03
O (0.000, 0.462, 0.140)  0.03
O (0.000, 0.860, 0.538)  0.03

Values from the calculation:
The calculation puts the total energy at -48.56 eV for the cell shown. The density of states at the Fermi level is 0.00 states/eV/cell.